# La3GaRu

La3GaRu after structural relaxation (PBE, Alexandria via LeMat-Bulk).

Values from the calculation:
DOS at the Fermi energy   2.936 states/eV/f.u.
Magnetic moment   0.00 μB per formula unit
Final energy   -58.122 eV per cell

Cell: 9.507 8.860 5.891 Å, 77.37 65.43 37.21°
Fractional coordinates of all 10 atoms:
1 La 0.199 0.199 0.801
2 La 0.204 0.597 0.403
3 La 0.403 0.796 0.204
4 La 0.597 0.204 0.796
5 La 0.796 0.403 0.597
6 La 0.801 0.801 0.199
7 Ga 0.188 0.812 0.812
8 Ga 0.812 0.188 0.188
9 Ru 0.250 0.250 0.250
10 Ru 0.750 0.750 0.750